A geometry-optimized Hf2Pd7Pt2 structure, computed with GGA-PBE.

```
11
Lattice="-0.350 4.559 3.313 -5.946 -1.270 -1.101 1.195 -3.501 4.266" Properties=species:S:1:pos:R:3 pbc="T T T"
Pd -0.784 2.281 4.716
Pd -5.001 1.074 1.339
Hf -2.690 -0.379 1.152
Pd -4.377 -0.410 3.623
Pd 0.000 0.000 0.000
Pt -2.163 -2.126 3.477
Pt -2.938 1.914 3.000
Pd -0.724 0.199 2.854
Hf -2.411 0.168 5.325
Pd -4.317 -2.493 1.761
Pd -0.100 -1.286 5.138
```

- symmetry = C2/m (12)
- formation enthalpy at 0 K (meV per atom) = -508